[1]
First-principles (PBE-GGA) data for CrRhPb after structural relaxation, as listed in Alexandria via LeMat-Bulk.

a = 4.4785 Å, b = 4.4785 Å, c = 3.1410 Å
α = 90.00°, β = 90.00°, γ = 120.00°
Closest atoms and distances in Å follow each position.
Space group P3m1 (No. 156)
One atom of each set of equivalent atoms:
Cr (0.0000, 0.0000, 0.0000) x1  3 Rh 2.75, 3 Pb 2.85
Rh (0.6667, 0.3333, 0.7026) x1  3 Cr 2.75, 3 Pb 2.77
Pb (0.3333, 0.6667, 0.3822) x1  3 Rh 2.77, 3 Cr 2.85

DFT formation energy in eV per atom: 0.374
Energy above the most stable polymorph in this dataset in eV/atom: 0.057
Size of the total moment in μB per atom: 1.2522

[2]
First-principles (PBE-GGA) data for CrRhPb2 after structural relaxation, as listed in Alexandria via LeMat-Bulk.

a = 6.6957 Å, b = 6.6957 Å, c = 6.6957 Å
α = 90.00°, β = 90.00°, γ = 90.00°
Closest atoms and distances in Å follow each position.
Space group Fm-3m (No. 225)
One atom of each set of equivalent atoms:
Cr (0.0000, 0.0000, 0.0000) x4  8 Pb 2.90
Rh (0.0000, 0.0000, 0.5000) x4  8 Pb 2.90
Pb (0.2500, 0.2500, 0.2500) x8  4 Cr 2.90, 4 Rh 2.90

DFT formation energy in eV per atom: 0.570
Energy above the most stable polymorph in this dataset in eV/atom: 0.379
Size of the total moment in μB per atom: 0.0000

[3]
First-principles (PBE-GGA) data for CrRhPb2 after structural relaxation, as listed in Alexandria via LeMat-Bulk.

a = 6.6124 Å, b = 6.7607 Å, c = 3.6168 Å
α = 90.00°, β = 90.28°, γ = 90.00°
Closest atoms and distances in Å follow each position.
Space group C2/m (No. 12)
One atom of each set of equivalent atoms:
Cr (0.0000, 0.0000, 0.0000) x2  8 Pb 2.97-2.98, 2 Rh 3.31
Rh (0.0000, 0.5000, 0.0000) x2  8 Pb 2.97-2.98, 2 Cr 3.31
Pb (0.2500, 0.2500, 0.5000) x4  4 Cr 2.97-2.98, 4 Rh 2.97-2.98, 2 Pb 3.31

DFT formation energy in eV per atom: 0.369
Energy above the most stable polymorph in this dataset in eV/atom: 0.178
Size of the total moment in μB per atom: 0.8708